# 1
Below is a relaxed structure of AcAgHg2, with properties calculated at the PBE-GGA level.

Properties
**Crystal system**: tetragonal
**Energy above the most stable polymorph in this dataset**: 117 meV per atom
**Space group**: P4/mmm
**Formation energy from the elements**: -0.224 eV per atom
**Calculated density**: 11.5 g cm⁻³

Cell: 3.8552 3.8552 7.1819 Å, 90.00 90.00 90.00°
With the nearest neighbours (Å) after each atom.
Sites, in units of the cell vectors:
Ac1 0.0000 0.0000 0.0000  8 Hg 3.43, 2 Ag 3.59
Ag1 0.0000 0.0000 0.5000  8 Hg 3.12
Hg1 0.5000 0.5000 0.2898  1 Hg 3.02, 4 Ag 3.12
Hg2 0.5000 0.5000 0.7102  1 Hg 3.02, 4 Ag 3.12

=====

# 2
Below is a relaxed structure of Ac2Ag9Hg, with properties calculated at the PBE-GGA level.

Properties
**Crystal system**: trigonal
**Space group**: R-3m
**Formation energy from the elements**: -0.055 eV per atom
**Calculated density**: 9.7 g cm⁻³

Cell: 9.8205 9.8205 9.8205 Å, 34.92 34.92 34.92°
With the nearest neighbours (Å) after each atom.
Sites, in units of the cell vectors:
Ac1 0.1328 0.1328 0.1328  9 Ag 3.26-3.53
Ac2 0.8672 0.8672 0.8672  9 Ag 3.26-3.53
Ag1 0.0780 0.5846 0.5846  7 Ag 2.83-2.99
Ag2 0.3335 0.3335 0.3335  6 Ag 2.83-2.85
Ag3 0.4154 0.4154 0.9220  7 Ag 2.83-2.99
Ag4 0.4154 0.9220 0.4154  7 Ag 2.83-2.99
Ag5 0.5000 0.5000 0.5000  6 Ag 2.90
Ag6 0.5846 0.0780 0.5846  7 Ag 2.83-2.99
Ag7 0.5846 0.5846 0.0780  7 Ag 2.83-2.99
Ag8 0.6665 0.6665 0.6665  6 Ag 2.83-2.85
Ag9 0.9220 0.4154 0.4154  7 Ag 2.83-2.99
Hg1 0.0000 0.0000 0.0000  18 Ag 3.40-3.72, 2 Ac 3.67

=====

# 3
Below is a relaxed structure of Ac2Ag6Hg, with properties calculated at the PBE-GGA level.

Properties
**Crystal system**: monoclinic
**Space group**: C2/m
**Formation energy from the elements**: -0.199 eV per atom
**Calculated density**: 9.8 g cm⁻³

Cell: 6.4035 6.4035 6.1934 Å, 90.03 90.03 59.94°
With the nearest neighbours (Å) after each atom.
Sites, in units of the cell vectors:
Ac1 0.1665 0.1665 0.1601  12 Ag 3.39-3.53
Ac2 0.8335 0.8335 0.8399  12 Ag 3.39-3.53
Ag1 0.1350 0.6824 0.3371  4 Ag 2.86-2.90, 1 Hg 2.91
Ag2 0.3171 0.3171 0.6631  4 Ag 2.86-2.89, 1 Hg 2.91
Ag3 0.3176 0.8650 0.6629  4 Ag 2.86-2.90, 1 Hg 2.91
Ag4 0.6824 0.1350 0.3371  4 Ag 2.86-2.90, 1 Hg 2.91
Ag5 0.6829 0.6829 0.3369  4 Ag 2.86-2.89, 1 Hg 2.91
Ag6 0.8650 0.3176 0.6629  4 Ag 2.86-2.90, 1 Hg 2.91
Hg1 0.5000 0.5000 0.0000  6 Ag 2.91

=====

# 4
Below is a relaxed structure of Ac3Ag2Hg9, with properties calculated at the PBE-GGA level.

Properties
**Crystal system**: orthorhombic
**Space group**: Immm
**Formation energy from the elements**: -0.314 eV per atom
**Calculated density**: 12.1 g cm⁻³

Cell: 9.1806 9.1806 9.1806 Å, 147.38 114.84 74.79°
With the nearest neighbours (Å) after each atom.
Sites, in units of the cell vectors:
Ac1 0.0000 0.0000 0.0000  12 Hg 3.56-3.60
Ac2 0.2909 0.2909 0.0000  2 Ag 3.40, 12 Hg 3.45-3.66
Ac3 0.7091 0.7091 0.0000  2 Ag 3.40, 12 Hg 3.45-3.66
Ag1 0.3483 0.5000 0.8483  4 Hg 2.89-2.98, 1 Ag 3.00
Ag2 0.6517 0.5000 0.1517  4 Hg 2.89-2.98, 1 Ag 3.00
Hg1 0.0019 0.3577 0.6442  4 Hg 2.85-3.17, 1 Ag 2.89
Hg2 0.1439 0.8549 0.2891  4 Hg 2.95-3.17
Hg3 0.2865 0.6423 0.6442  4 Hg 2.85-3.17, 1 Ag 2.89
Hg4 0.4342 0.1451 0.2891  4 Hg 2.95-3.17
Hg5 0.5000 0.0000 0.5000  4 Hg 2.97, 4 Ag 2.98
Hg6 0.5658 0.8549 0.7109  4 Hg 2.95-3.17
Hg7 0.7135 0.3577 0.3558  4 Hg 2.85-3.17, 1 Ag 2.89
Hg8 0.8561 0.1451 0.7109  4 Hg 2.95-3.17
Hg9 0.9981 0.6423 0.3558  4 Hg 2.85-3.17, 1 Ag 2.89